First-principles (GGA-PBE) data for an optimized crystal structure of Ge2IrRh, as listed in Alexandria.

The calculation puts the volume at 21.07 A^3/atom. Its final energy is -25.217 eV per formula unit. Its total moment is 0.00 μB per formula unit.

Lattice parameters (Å, degrees): 5.5369 5.5369 10.9974 90.00 90.00 90.00
Last column: nearest neighbours and their distance in Å.
Space group I-42d (No. 122)
Inequivalent atoms, fractional coordinates:
1 Ge 0.2487 0.2500 0.1250 [8 per cell]  2 Ir 2.39, 2 Rh 2.40
2 Ir 0.0000 0.0000 0.0000 [4 per cell]  4 Ge 2.39
3 Rh 0.0000 0.0000 0.5000 [4 per cell]  4 Ge 2.40


First-principles (GGA-PBE) data for an optimized crystal structure of TbSmCdAg, as listed in Alexandria.

The calculation puts the volume at 26.03 A^3/atom. Its final energy is -14.286 eV per formula unit. Its total moment is 0.00 μB per formula unit.

Lattice parameters (Å, degrees): 7.4683 7.4683 7.4683 90.00 90.00 90.00
Last column: nearest neighbours and their distance in Å.
Space group F-43m (No. 216)
Inequivalent atoms, fractional coordinates:
1 Tb 0.0000 0.0000 0.0000 [4 per cell]  4 Cd 3.23, 4 Ag 3.23
2 Sm 0.0000 0.0000 0.5000 [4 per cell]  4 Cd 3.23, 4 Ag 3.23
3 Cd 0.2500 0.2500 0.2500 [4 per cell]  4 Sm 3.23, 4 Tb 3.23
4 Ag 0.2500 0.2500 0.7500 [4 per cell]  4 Tb 3.23, 4 Sm 3.23


First-principles (GGA-PBE) data for an optimized crystal structure of Sc3CoHg2, as listed in Alexandria.

The calculation puts the volume at 19.68 A^3/atom. Its final energy is -28.936 eV per formula unit. Its total moment is 0.34 μB per formula unit.

Lattice parameters (Å, degrees): 4.7488 14.1387 7.0336 90.00 90.00 90.00
Last column: nearest neighbours and their distance in Å.
Space group Cmmm (No. 65)
Inequivalent atoms, fractional coordinates:
1 Sc 0.0000 0.0000 0.2320 [4 per cell]  2 Co 2.87, 6 Hg 2.88-3.03
2 Sc 0.0000 0.3244 0.2200 [8 per cell]  3 Co 2.71-2.84, 2 Hg 2.93-2.99
3 Co 0.0000 0.1670 0.0000 [4 per cell]  8 Sc 2.71-2.87
4 Hg 0.0000 0.1649 0.5000 [4 per cell]  8 Sc 2.99-3.09, 2 Hg 3.33
5 Hg 0.0000 0.5000 0.0000 [2 per cell]  8 Sc 2.88-2.93
6 Hg 0.0000 0.5000 0.5000 [2 per cell]  8 Sc 3.03-3.17, 4 Hg 3.33


First-principles (GGA-PBE) data for an optimized crystal structure of NaInC, as listed in Alexandria.

The calculation puts the volume at 19.40 A^3/atom. Its final energy is -11.017 eV per formula unit. Its total moment is 0.00 μB per formula unit.

Lattice parameters (Å, degrees): 3.8084 3.8084 9.2677 90.00 90.00 120.00
Last column: nearest neighbours and their distance in Å.
Space group P6_3mc (No. 186)
Inequivalent atoms, fractional coordinates:
1 Na 0.0000 0.0000 0.0000 [2 per cell]  6 C 3.12-3.27, 6 In 3.17-3.21
2 In 0.3333 0.6667 0.2470 [2 per cell]  3 C 2.20
3 C 0.3333 0.6667 0.7385 [2 per cell]  3 In 2.20


First-principles (GGA-PBE) data for an optimized crystal structure of Ca2AcPt2, as listed in Alexandria.

The calculation puts the volume at 29.08 A^3/atom. Its final energy is -24.528 eV per formula unit. Its total moment is 0.00 μB per formula unit.

Lattice parameters (Å, degrees): 5.7013 4.6061 11.1792 90.00 97.92 90.00
Last column: nearest neighbours and their distance in Å.
Space group P2_1/m (No. 11)
Inequivalent atoms, fractional coordinates:
1 Ca 0.1077 0.2500 0.3845 [2 per cell]  5 Pt 2.96-3.13
2 Ca 0.2448 0.2500 0.0319 [2 per cell]  4 Pt 2.98-3.11
3 Ac 0.4037 0.2500 0.7146 [2 per cell]  5 Pt 3.07-3.16
4 Pt 0.2300 0.7500 0.8612 [2 per cell]  5 Ca 2.98-3.13, 2 Ac 3.07
5 Pt 0.3561 0.7500 0.5242 [2 per cell]  2 Pt 2.92, 4 Ca 2.96-3.09, 3 Ac 3.12-3.16


First-principles (GGA-PBE) data for an optimized crystal structure of TiCrGaPt, as listed in Alexandria.

The calculation puts the volume at 14.37 A^3/atom. Its final energy is -28.264 eV per formula unit. Its total moment is 0.97 μB per formula unit.

Lattice parameters (Å, degrees): 6.1255 6.1255 6.1255 90.00 90.00 90.00
Last column: nearest neighbours and their distance in Å.
Space group F-43m (No. 216)
Inequivalent atoms, fractional coordinates:
1 Ti 0.0000 0.0000 0.0000 [4 per cell]  4 Cr 2.65, 4 Pt 2.65
2 Cr 0.2500 0.2500 0.7500 [4 per cell]  4 Ti 2.65, 4 Ga 2.65
3 Ga 0.0000 0.0000 0.5000 [4 per cell]  4 Cr 2.65, 4 Pt 2.65
4 Pt 0.2500 0.2500 0.2500 [4 per cell]  4 Ti 2.65, 4 Ga 2.65


First-principles (GGA-PBE) data for an optimized crystal structure of Tm5ThAl4, as listed in Alexandria.

The calculation puts the volume at 24.14 A^3/atom. Its final energy is -47.804 eV per formula unit. Its total moment is 0.00 μB per formula unit.

Lattice parameters (Å, degrees): 3.5423 3.5423 19.2411 90.00 90.00 90.00
Last column: nearest neighbours and their distance in Å.
Space group P4/mmm (No. 123)
Inequivalent atoms, fractional coordinates:
1 Tm 0.0000 0.0000 0.0000 [1 per cell]  8 Al 3.07
2 Tm 0.0000 0.0000 0.1846 [2 per cell]  8 Al 3.07-3.08
3 Tm 0.0000 0.0000 0.3727 [2 per cell]  4 Al 3.10
4 Th 0.5000 0.5000 0.5000 [1 per cell]  8 Tm 3.50, 4 Th 3.54
5 Al 0.5000 0.5000 0.0923 [2 per cell]  8 Tm 3.07
6 Al 0.5000 0.5000 0.2780 [2 per cell]  8 Tm 3.08-3.10


First-principles (GGA-PBE) data for an optimized crystal structure of Tb2TmCd5, as listed in Alexandria.

The calculation puts the volume at 24.57 A^3/atom. Its final energy is -20.633 eV per formula unit. Its total moment is 0.02 μB per formula unit.

Lattice parameters (Å, degrees): 5.1106 5.1106 15.0511 90.00 90.00 90.00
Last column: nearest neighbours and their distance in Å.
Space group I4/mmm (No. 139)
Inequivalent atoms, fractional coordinates:
1 Tb 0.0000 0.0000 0.2399 [4 per cell]  8 Cd 3.15-3.34
2 Tm 0.0000 0.0000 0.5000 [2 per cell]  8 Cd 3.11
3 Cd 0.0000 0.0000 0.0000 [2 per cell]  8 Cd 3.11
4 Cd 0.0000 0.5000 0.1174 [8 per cell]  2 Tm 3.11, 2 Cd 3.11, 4 Tb 3.15-3.34


First-principles (GGA-PBE) data for an optimized crystal structure of Nd12Tm3Hg, as listed in Alexandria.

The calculation puts the volume at 33.02 A^3/atom. Its final energy is -71.339 eV per formula unit. Its total moment is 0.00 μB per formula unit.

Lattice parameters (Å, degrees): 5.0696 5.0696 20.5594 90.00 90.00 90.00
Last column: nearest neighbours and their distance in Å.
Space group P4/mmm (No. 123)
Inequivalent atoms, fractional coordinates:
1 Nd 0.0000 0.0000 0.0000 [1 per cell]  8 Nd 3.56, 4 Hg 3.58
2 Nd 0.0000 0.0000 0.2458 [2 per cell]  4 Tm 3.58, 8 Nd 3.60-3.65
3 Nd 0.0000 0.0000 0.5000 [1 per cell]  4 Tm 3.58, 8 Nd 3.63
4 Nd 0.0000 0.5000 0.1213 [4 per cell]  2 Hg 3.56, 8 Nd 3.56-3.60, 2 Tm 3.63
5 Nd 0.0000 0.5000 0.3735 [4 per cell]  8 Nd 3.58-3.65, 4 Tm 3.63
6 Tm 0.5000 0.5000 0.2474 [2 per cell]  12 Nd 3.58-3.63
7 Tm 0.5000 0.5000 0.5000 [1 per cell]  12 Nd 3.58-3.63
8 Hg 0.5000 0.5000 0.0000 [1 per cell]  12 Nd 3.56-3.58


First-principles (GGA-PBE) data for an optimized crystal structure of La5Ni2Ag2, as listed in Alexandria.

The calculation puts the volume at 27.48 A^3/atom. Its final energy is -43.902 eV per formula unit. Its total moment is 0.00 μB per formula unit.

Lattice parameters (Å, degrees): 15.9272 7.1806 8.6515 90.00 90.00 90.00
Last column: nearest neighbours and their distance in Å.
Space group Cmce (No. 64)
Inequivalent atoms, fractional coordinates:
1 La 0.0000 0.0000 0.0000 [4 per cell]  2 Ni 2.77
2 La 0.1237 0.1460 0.3232 [16 per cell]  3 Ni 2.89-3.14
3 Ni 0.0000 0.1354 0.6058 [8 per cell]  1 Ni 2.67, 3 La 2.77-2.89
4 Ag 0.2095 0.0000 0.0000 [8 per cell]  7 La 3.24-3.34


First-principles (GGA-PBE) data for an optimized crystal structure of Hf2NbCu, as listed in Alexandria.

The calculation puts the volume at 18.57 A^3/atom. Its final energy is -34.261 eV per formula unit. Its total moment is 0.00 μB per formula unit.

Lattice parameters (Å, degrees): 3.3720 3.3720 6.5337 90.00 90.00 90.00
Last column: nearest neighbours and their distance in Å.
Space group P4/mmm (No. 123)
Inequivalent atoms, fractional coordinates:
1 Hf 0.0000 0.0000 0.2460 [2 per cell]  4 Cu 2.88, 4 Nb 2.90, 1 Hf 3.21
2 Nb 0.5000 0.5000 0.5000 [1 per cell]  8 Hf 2.90
3 Cu 0.5000 0.5000 0.0000 [1 per cell]  8 Hf 2.88